A plane-wave DFT calculation with PBE with a Hubbard U was carried out for an optimized crystal structure of Rb3VPb2F9.

Lattice parameters (Å, degrees): 6.573 6.573 8.059 90.00 90.00 120.00
Sites, in units of the cell vectors:
Rb1 0.000 0.000 0.000
Rb2 0.333 0.667 0.661
Rb3 0.667 0.333 0.339
V1 0.000 0.000 0.500
Pb1 0.333 0.667 0.184
Pb2 0.667 0.333 0.816
F1 0.000 0.500 0.000
F2 0.153 0.306 0.348
F3 0.153 0.847 0.348
F4 0.306 0.153 0.652
F5 0.500 0.000 0.000
F6 0.500 0.500 0.000
F7 0.694 0.847 0.348
F8 0.847 0.153 0.652
F9 0.847 0.694 0.652

The space-group type is P-3m1, No. 164. The value obtained for the calculated volume is 20.1 Å³/atom. The calculated total energy is -0.3593 Ry per atom. Its spin magnetization is 3.0 μB per cell.